A plane-wave DFT calculation with PBE was carried out for an optimized crystal structure of Ba2InSnAu6.

Results
- calculated total energy (eV/atom) = -3.39

CIF file:
```
data_Ba2InSnAu6
_chemical_formula_sum 'Ba8 In4 Sn4 Au24'
_cell_length_a 10.633
_cell_length_b 10.633
_cell_length_c 10.633
_cell_angle_alpha 90.00
_cell_angle_beta 90.00
_cell_angle_gamma 90.00
_symmetry_space_group_name_H-M 'F m -3 m'
_symmetry_Int_Tables_number 225
_symmetry_space_group_name_Hall '-F 4 2 3'
loop_
_atom_site_label
_atom_site_type_symbol
_atom_site_fract_x
_atom_site_fract_y
_atom_site_fract_z
Ba1 Ba 0.250 0.250 0.250
In1 In 0.000 0.000 0.000
Sn1 Sn 0.000 0.000 0.500
Au1 Au 0.000 0.000 0.250
```

A plane-wave DFT calculation with PBE was carried out for an optimized crystal structure of BaSrInAu.

Results
- polymorph energy (0 for the lowest one) (eV/atom) = 0.000

CIF file:
```
data_BaSrInAu
_chemical_formula_sum 'Ba2 Sr2 In2 Au2'
_cell_length_a 4.970
_cell_length_b 4.571
_cell_length_c 12.652
_cell_angle_alpha 90.00
_cell_angle_beta 90.00
_cell_angle_gamma 90.00
_symmetry_space_group_name_H-M 'A m m 2'
_symmetry_Int_Tables_number 38
_symmetry_space_group_name_Hall 'A 2 -2'
loop_
_atom_site_label
_atom_site_type_symbol
_atom_site_fract_x
_atom_site_fract_y
_atom_site_fract_z
Ba1 Ba 0.000 0.000 0.000
Sr1 Sr 0.500 0.000 0.283
In1 In 0.000 0.000 0.715
Au1 Au 0.500 0.000 0.588
```

A plane-wave DFT calculation with PBE was carried out for an optimized crystal structure of BaSrInAu.

Results
- polymorph energy (0 for the lowest one) (eV/atom) = 0.043

CIF file:
```
data_BaSrInAu
_chemical_formula_sum 'Ba4 Sr4 In4 Au4'
_cell_length_a 8.136
_cell_length_b 8.136
_cell_length_c 8.136
_cell_angle_alpha 90.00
_cell_angle_beta 90.00
_cell_angle_gamma 90.00
_symmetry_space_group_name_H-M 'F -4 3 m'
_symmetry_Int_Tables_number 216
_symmetry_space_group_name_Hall 'F -4 2 3'
loop_
_atom_site_label
_atom_site_type_symbol
_atom_site_fract_x
_atom_site_fract_y
_atom_site_fract_z
Ba1 Ba 0.000 0.000 0.000
Sr1 Sr 0.000 0.000 0.500
In1 In 0.250 0.250 0.250
Au1 Au 0.250 0.250 0.750
```

A plane-wave DFT calculation with PBE was carried out for an optimized crystal structure of Ba2TbInAu6.

Results
- calculated total energy (eV/atom) = -3.45

CIF file:
```
data_Ba2TbInAu6
_chemical_formula_sum 'Ba8 Tb4 In4 Au24'
_cell_length_a 10.943
_cell_length_b 10.943
_cell_length_c 10.943
_cell_angle_alpha 90.00
_cell_angle_beta 90.00
_cell_angle_gamma 90.00
_symmetry_space_group_name_H-M 'F m -3 m'
_symmetry_Int_Tables_number 225
_symmetry_space_group_name_Hall '-F 4 2 3'
loop_
_atom_site_label
_atom_site_type_symbol
_atom_site_fract_x
_atom_site_fract_y
_atom_site_fract_z
Ba1 Ba 0.250 0.250 0.250
Tb1 Tb 0.000 0.000 0.000
In1 In 0.000 0.000 0.500
Au1 Au 0.000 0.000 0.254
```

A plane-wave DFT calculation with PBE was carried out for an optimized crystal structure of Ba2InTe5Au.

Results
- formation energy without anion corrections (eV per atom) = -0.841

CIF file:
```
data_Ba2InTe5Au
_chemical_formula_sum 'Ba8 In4 Te20 Au4'
_cell_length_a 4.551
_cell_length_b 22.095
_cell_length_c 13.587
_cell_angle_alpha 90.00
_cell_angle_beta 90.00
_cell_angle_gamma 90.00
_symmetry_space_group_name_H-M 'C m c 21'
_symmetry_Int_Tables_number 36
_symmetry_space_group_name_Hall 'C 2c -2'
loop_
_atom_site_label
_atom_site_type_symbol
_atom_site_fract_x
_atom_site_fract_y
_atom_site_fract_z
Ba1 Ba 0.000 0.058 0.000
Ba2 Ba 0.000 0.157 0.337
In1 In 0.000 0.419 0.162
Te1 Te 0.000 0.020 0.742
Te2 Te 0.000 0.291 0.190
Te3 Te 0.000 0.314 0.444
Te4 Te 0.000 0.369 0.651
Te5 Te 0.000 0.438 0.957
Au1 Au 0.000 0.198 0.814
```

A plane-wave DFT calculation with PBE was carried out for an optimized crystal structure of BaTiInAu2.

Results
- calculated total energy (eV/atom) = -3.47

CIF file:
```
data_BaTiInAu2
_chemical_formula_sum 'Ba1 Ti1 In1 Au2'
_cell_length_a 5.118
_cell_length_b 5.118
_cell_length_c 5.837
_cell_angle_alpha 90.00
_cell_angle_beta 90.00
_cell_angle_gamma 90.00
_symmetry_space_group_name_H-M 'P 4/m m m'
_symmetry_Int_Tables_number 123
_symmetry_space_group_name_Hall '-P 4 2'
loop_
_atom_site_label
_atom_site_type_symbol
_atom_site_fract_x
_atom_site_fract_y
_atom_site_fract_z
Ba1 Ba 0.000 0.000 0.000
Ti1 Ti 0.000 0.000 0.500
In1 In 0.500 0.500 0.000
Au1 Au 0.000 0.500 0.500
```

A plane-wave DFT calculation with PBE was carried out for an optimized crystal structure of BaTlInAu2.

Results
- calculated total energy (eV/atom) = -3.18

CIF file:
```
data_BaTlInAu2
_chemical_formula_sum 'Ba2 Tl2 In2 Au4'
_cell_length_a 4.692
_cell_length_b 4.692
_cell_length_c 12.730
_cell_angle_alpha 90.00
_cell_angle_beta 90.00
_cell_angle_gamma 90.00
_symmetry_space_group_name_H-M 'I -4 m 2'
_symmetry_Int_Tables_number 119
_symmetry_space_group_name_Hall 'I -4 -2'
loop_
_atom_site_label
_atom_site_type_symbol
_atom_site_fract_x
_atom_site_fract_y
_atom_site_fract_z
Ba1 Ba 0.000 0.000 0.000
Tl1 Tl 0.000 0.500 0.750
In1 In 0.000 0.500 0.250
Au1 Au 0.000 0.000 0.391
```

A plane-wave DFT calculation with PBE was carried out for an optimized crystal structure of BaTlInAu.

Results
- polymorph energy (0 for the lowest one) (eV/atom) = 0.039

CIF file:
```
data_BaTlInAu
_chemical_formula_sum 'Ba4 Tl4 In4 Au4'
_cell_length_a 7.762
_cell_length_b 7.762
_cell_length_c 7.762
_cell_angle_alpha 90.00
_cell_angle_beta 90.00
_cell_angle_gamma 90.00
_symmetry_space_group_name_H-M 'F -4 3 m'
_symmetry_Int_Tables_number 216
_symmetry_space_group_name_Hall 'F -4 2 3'
loop_
_atom_site_label
_atom_site_type_symbol
_atom_site_fract_x
_atom_site_fract_y
_atom_site_fract_z
Ba1 Ba 0.000 0.000 0.000
Tl1 Tl 0.250 0.250 0.250
In1 In 0.000 0.000 0.500
Au1 Au 0.250 0.250 0.750
```

A plane-wave DFT calculation with PBE was carried out for an optimized crystal structure of Ba2Tl3In4Au.

Results
- calculated total energy (eV/atom) = -2.83

CIF file:
```
data_Ba2Tl3In4Au
_chemical_formula_sum 'Ba2 Tl3 In4 Au1'
_cell_length_a 5.083
_cell_length_b 5.083
_cell_length_c 12.179
_cell_angle_alpha 90.00
_cell_angle_beta 90.00
_cell_angle_gamma 90.00
_symmetry_space_group_name_H-M 'P -4 m 2'
_symmetry_Int_Tables_number 115
_symmetry_space_group_name_Hall 'P -4 -2'
loop_
_atom_site_label
_atom_site_type_symbol
_atom_site_fract_x
_atom_site_fract_y
_atom_site_fract_z
Ba1 Ba 0.000 0.500 0.237
Tl1 Tl 0.000 0.000 0.000
Tl2 Tl 0.000 0.500 0.643
In1 In 0.000 0.000 0.500
In2 In 0.000 0.500 0.883
In3 In 0.500 0.500 0.500
Au1 Au 0.500 0.500 0.000
```

A plane-wave DFT calculation with PBE was carried out for an optimized crystal structure of Ba2Tl6InAu.

Results
- calculated total energy (eV/atom) = -2.58

CIF file:
```
data_Ba2Tl6InAu
_chemical_formula_sum 'Ba12 Tl36 In6 Au6'
_cell_length_a 7.7899
_cell_length_b 7.7899
_cell_length_c 39.3338
_cell_angle_alpha 90.00
_cell_angle_beta 90.00
_cell_angle_gamma 120.00
_symmetry_space_group_name_H-M 'R -3 m'
_symmetry_Int_Tables_number 166
_symmetry_space_group_name_Hall '-R 3 2"'
loop_
_atom_site_label
_atom_site_type_symbol
_atom_site_fract_x
_atom_site_fract_y
_atom_site_fract_z
Ba1 Ba 0.0000 0.0000 0.1073
Ba2 Ba 0.0000 0.0000 0.2811
Tl1 Tl 0.0476 0.5238 0.3017
Tl2 Tl 0.0569 0.5285 0.8652
In1 In 0.0000 0.0000 0.4269
Au1 Au 0.0000 0.0000 0.0000
Au2 Au 0.0000 0.0000 0.5000
```

A plane-wave DFT calculation with PBE was carried out for an optimized crystal structure of Ba2Tl3InAu4.

Results
- calculated total energy (eV/atom) = -3.09

CIF file:
```
data_Ba2Tl3InAu4
_chemical_formula_sum 'Ba2 Tl3 In1 Au4'
_cell_length_a 5.091
_cell_length_b 5.091
_cell_length_c 11.048
_cell_angle_alpha 90.00
_cell_angle_beta 90.00
_cell_angle_gamma 90.00
_symmetry_space_group_name_H-M 'P -4 m 2'
_symmetry_Int_Tables_number 115
_symmetry_space_group_name_Hall 'P -4 -2'
loop_
_atom_site_label
_atom_site_type_symbol
_atom_site_fract_x
_atom_site_fract_y
_atom_site_fract_z
Ba1 Ba 0.000 0.500 0.240
Tl1 Tl 0.000 0.500 0.878
Tl2 Tl 0.500 0.500 0.500
In1 In 0.000 0.000 0.500
Au1 Au 0.000 0.000 0.000
Au2 Au 0.000 0.500 0.623
Au3 Au 0.500 0.500 0.000
```

A plane-wave DFT calculation with PBE was carried out for an optimized crystal structure of Ba2TlInAu.

Results
- calculated total energy (eV/atom) = -2.78

CIF file:
```
data_Ba2TlInAu
_chemical_formula_sum 'Ba2 Tl1 In1 Au1'
_cell_length_a 6.371
_cell_length_b 6.371
_cell_length_c 5.210
_cell_angle_alpha 90.00
_cell_angle_beta 90.00
_cell_angle_gamma 90.00
_symmetry_space_group_name_H-M 'P 4/m m m'
_symmetry_Int_Tables_number 123
_symmetry_space_group_name_Hall '-P 4 2'
loop_
_atom_site_label
_atom_site_type_symbol
_atom_site_fract_x
_atom_site_fract_y
_atom_site_fract_z
Ba1 Ba 0.000 0.500 0.000
Tl1 Tl 0.000 0.000 0.500
In1 In 0.500 0.500 0.500
Au1 Au 0.500 0.500 0.000
```

| no. | spin magnetization (μB/f.u.) |
| --- | --- |
| 1 | 0.00 |
| 2 | 0.00 |
| 3 | 0.00 |
| 4 | 0.00 |
| 5 | 0.00 |
| 6 | 1.16 |
| 7 | 0.00 |
| 8 | 0.00 |
| 9 | 0.00 |
| 10 | 0.00 |
| 11 | 0.00 |
| 12 | 0.00 |